Run one
{
  "formula": "Na3SnTe4",
  "functional": "GGA-PBE",
  "state": "optimized geometry",
  "n_ef_per_ev_fu": 4.4,
  "cell": [[8.821, 0.000, 0.000], [0.000, 11.825, 0.000], [0.000, 0.000, 10.777]],
  "species": ["Te", "Te", "Te", "Te", "Te", "Te", "Te", "Te", "Te", "Te", "Te", "Te", "Te", "Te", "Te", "Te", "Sn", "Sn", "Sn", "Sn", "Na", "Na", "Na", "Na", "Na", "Na", "Na", "Na", "Na", "Na", "Na", "Na"],
  "fractional_positions": [[0.664, 0.478, 0.959], [0.836, 0.978, 0.041], [0.000, 0.725, 0.750], [0.336, 0.522, 0.459], [0.548, 0.172, 0.750], [0.452, 0.828, 0.250], [0.500, 0.225, 0.250], [0.664, 0.478, 0.541], [0.048, 0.328, 0.750], [0.500, 0.775, 0.750], [0.836, 0.978, 0.459], [0.952, 0.672, 0.250], [0.164, 0.022, 0.541], [0.336, 0.522, 0.041], [0.000, 0.275, 0.250], [0.164, 0.022, 0.959], [0.144, 0.484, 0.250], [0.356, 0.984, 0.750], [0.644, 0.016, 0.250], [0.856, 0.516, 0.750], [0.831, 0.237, 0.973], [0.831, 0.237, 0.527], [0.331, 0.263, 0.527], [0.278, 0.551, 0.750], [0.669, 0.737, 0.027], [0.722, 0.449, 0.250], [0.169, 0.763, 0.473], [0.778, 0.949, 0.750], [0.222, 0.051, 0.250], [0.669, 0.737, 0.473], [0.169, 0.763, 0.027], [0.331, 0.263, 0.973]]
}


Run two
{
  "formula": "Na3SnTe4",
  "functional": "GGA-PBE",
  "state": "optimized geometry",
  "n_ef_per_ev_fu": 8.4,
  "cell": [[-1.195, -6.110, -2.324], [1.582, -3.474, 8.320], [-10.040, 1.068, 2.355]],
  "species": ["Sn", "Sn", "Te", "Te", "Te", "Te", "Te", "Te", "Te", "Te", "Na", "Na", "Na", "Na", "Na", "Na"],
  "fractional_positions": [[0.971, 0.187, 0.000], [0.471, 0.813, 0.500], [0.097, 0.897, 0.000], [0.554, 0.178, 0.000], [0.079, 0.336, 0.224], [0.597, 0.103, 0.500], [0.579, 0.664, 0.276], [0.579, 0.664, 0.724], [0.054, 0.822, 0.500], [0.079, 0.336, 0.776], [0.590, 0.841, 0.000], [0.073, 0.680, 0.231], [0.573, 0.320, 0.269], [0.090, 0.159, 0.500], [0.073, 0.680, 0.769], [0.573, 0.320, 0.731]]
}


The most stable of them is run one.


Run one
{
  "formula": "NaSn3Te4",
  "functional": "GGA-PBE",
  "state": "optimized geometry",
  "n_ef_per_ev_fu": 4.4,
  "cell": [[6.304, 0.000, 0.000], [0.000, 6.306, 0.000], [0.000, 0.000, 12.768]],
  "species": ["Sn", "Sn", "Sn", "Sn", "Sn", "Sn", "Te", "Te", "Te", "Te", "Te", "Te", "Te", "Te", "Na", "Na"],
  "fractional_positions": [[0.065, 0.750, 0.250], [0.565, 0.752, 0.000], [0.065, 0.248, 0.500], [0.065, 0.750, 0.750], [0.565, 0.250, 0.750], [0.565, 0.250, 0.250], [0.564, 0.750, 0.756], [0.064, 0.750, 0.500], [0.064, 0.250, 0.744], [0.564, 0.250, 0.000], [0.064, 0.749, 0.000], [0.064, 0.250, 0.256], [0.564, 0.251, 0.500], [0.564, 0.750, 0.244], [0.064, 0.249, 0.000], [0.564, 0.751, 0.500]]
}


Run two
{
  "formula": "NaSn3Te4",
  "functional": "GGA-PBE",
  "state": "optimized geometry",
  "n_ef_per_ev_fu": 4.1,
  "cell": [[-2.849, 1.610, 2.944], [-5.505, -4.871, -2.666], [0.406, -6.680, 4.044]],
  "species": ["Sn", "Sn", "Sn", "Na", "Te", "Te", "Te", "Te"],
  "fractional_positions": [[0.000, 0.000, 0.000], [0.000, 0.500, 0.500], [0.500, 0.000, 0.500], [0.500, 0.500, 0.000], [0.000, 0.244, 0.256], [0.500, 0.249, 0.749], [0.000, 0.756, 0.744], [0.500, 0.751, 0.251]]
}


The most stable of them is run two.


Run one
{
  "formula": "Na2Sn2Te3",
  "functional": "GGA-PBE",
  "state": "optimized geometry",
  "cell": [[4.472, -0.001, 1.350], [0.304, 8.034, -0.999], [0.066, -1.632, 7.868]],
  "species": ["Te", "Te", "Te", "Sn", "Sn", "Na", "Na"],
  "fractional_positions": [[0.223, 0.248, 0.554], [0.000, 0.000, 0.000], [0.777, 0.752, 0.446], [0.378, 0.909, 0.245], [0.622, 0.091, 0.755], [0.164, 0.660, 0.672], [0.836, 0.340, 0.328]]
}


Run two
{
  "formula": "Na2Sn2Te3",
  "functional": "GGA-PBE",
  "state": "optimized geometry",
  "cell": [[6.871, 0.000, 0.394], [0.000, 8.691, 0.000], [3.426, 0.000, 9.106]],
  "species": ["Sn", "Sn", "Sn", "Sn", "Na", "Na", "Na", "Na", "Te", "Te", "Te", "Te", "Te", "Te"],
  "fractional_positions": [[0.639, 0.414, 0.665], [0.139, 0.086, 0.665], [0.861, 0.914, 0.335], [0.361, 0.586, 0.335], [0.915, 0.662, 0.956], [0.415, 0.838, 0.956], [0.085, 0.338, 0.044], [0.585, 0.162, 0.044], [0.500, 0.500, 0.000], [0.311, 0.925, 0.308], [0.189, 0.425, 0.692], [0.811, 0.575, 0.308], [0.689, 0.075, 0.692], [0.000, 0.000, 0.000]]
}


The most stable of them is run one.


Run one
{
  "formula": "Na4SnTe4",
  "functional": "GGA-PBE",
  "state": "optimized geometry",
  "cell": [[-4.581, -3.369, 6.824], [5.733, -6.764, 0.510], [8.898, 8.301, 10.072]],
  "species": ["Na", "Na", "Na", "Na", "Na", "Na", "Na", "Na", "Na", "Na", "Na", "Na", "Na", "Na", "Na", "Na", "Te", "Te", "Te", "Te", "Te", "Te", "Te", "Te", "Te", "Te", "Te", "Te", "Te", "Te", "Te", "Te", "Sn", "Sn", "Sn", "Sn"],
  "fractional_positions": [[0.553, 0.597, 0.389], [0.446, 0.097, 0.612], [0.152, 0.804, 0.362], [0.153, 0.804, 0.861], [0.947, 0.403, 0.889], [0.054, 0.903, 0.112], [0.653, 0.696, 0.139], [0.053, 0.903, 0.611], [0.554, 0.597, 0.888], [0.348, 0.196, 0.862], [0.347, 0.196, 0.361], [0.848, 0.304, 0.138], [0.946, 0.403, 0.388], [0.652, 0.696, 0.638], [0.447, 0.097, 0.111], [0.847, 0.304, 0.639], [0.495, 0.404, 0.722], [0.995, 0.097, 0.778], [0.847, 0.755, 0.972], [0.505, 0.903, 0.278], [0.654, 0.246, 0.972], [0.346, 0.746, 0.528], [0.495, 0.403, 0.222], [0.347, 0.745, 0.028], [0.154, 0.254, 0.028], [0.153, 0.255, 0.528], [0.005, 0.596, 0.222], [0.005, 0.597, 0.722], [0.995, 0.096, 0.278], [0.505, 0.904, 0.778], [0.846, 0.754, 0.472], [0.653, 0.245, 0.472], [0.250, 0.500, 0.125], [0.250, 0.500, 0.625], [0.750, 0.000, 0.375], [0.750, 0.000, 0.875]]
}


Run two
{
  "formula": "Na4SnTe4",
  "functional": "GGA-PBE",
  "state": "optimized geometry",
  "cell": [[3.030, 7.131, 2.358], [-3.664, -1.243, -7.115], [-6.806, -3.240, 2.961]],
  "species": ["Te", "Te", "Te", "Te", "Na", "Na", "Na", "Na", "Sn"],
  "fractional_positions": [[0.000, 0.655, 0.072], [0.000, 0.072, 0.655], [0.583, 0.928, 0.928], [0.417, 0.345, 0.345], [0.000, 0.316, 0.316], [0.500, 0.000, 0.500], [0.500, 0.500, 0.000], [0.000, 0.684, 0.684], [0.000, 0.000, 0.000]]
}


The most stable of them is run one.